Material: Cr2Hg
Method: DFT, GGA-PBE
State: relaxed

For the distance to the lowest polymorph of the same formula, the calculation gives 69.5 kJ per mole of atoms. The final energy comes out at -16.24 eV/cell. The value obtained for the total magnetization is 8.7 μB per cell. The value obtained for the density of states at the Fermi level is 0.90 states/eV/atom. The value obtained for the energy of formation from the pure elements is 3.3 eV per formula unit.

The space group is P4/mmm (No. 123) and the conventional cell measures 4.498, 4.498 and 3.353 Å, with angles of 90.00, 90.00 and 90.00 degrees. The distinct sites, in fractional coordinates, are Cr at (0.000, 0.500, 0.000) and Hg at (0.000, 0.000, 0.500).